A plane-wave DFT calculation with GGA-PBE was carried out for a relaxed Cd5Ga2Pd12 crystal.

a = 7.6874 Å, b = 7.5481 Å, c = 6.4523 Å
α = 91.00°, β = 90.00°, γ = 120.61°
Closest atoms and distances in Å follow each position.
Element x y z (fractional)
Cd 0.2415 0.4831 0.5731  10 Pd 2.81-2.97, 1 Cd 2.95
Cd 0.2984 0.5967 0.0180  8 Pd 2.80-2.98, 1 Cd 2.95, 2 Ga 3.11
Cd 0.0000 0.0000 0.5000  10 Pd 2.76-3.01
Cd 0.7016 0.4033 0.9820  8 Pd 2.80-2.98, 1 Cd 2.95, 2 Ga 3.11
Cd 0.7585 0.5169 0.4269  10 Pd 2.81-2.97, 1 Cd 2.95
Ga 0.7179 0.0000 0.0000  8 Pd 2.58-2.73
Ga 0.2821 0.0000 0.0000  8 Pd 2.58-2.73
Pd 0.9087 0.8173 0.1097  2 Ga 2.58, 3 Cd 2.76-2.86, 5 Pd 2.79-2.81
Pd 0.0371 0.6917 0.7576  1 Ga 2.61, 3 Pd 2.75-2.83, 2 Cd 2.81
Pd 0.6545 0.6917 0.7576  1 Ga 2.61, 3 Pd 2.75-2.83, 2 Cd 2.81
Pd 0.1821 0.7644 0.3458  4 Pd 2.70-2.91, 1 Ga 2.73, 4 Cd 2.82-2.93
Pd 0.5823 0.7644 0.3458  4 Pd 2.70-2.91, 1 Ga 2.73, 4 Cd 2.82-2.93
Pd 0.4499 0.8998 0.7063  2 Ga 2.60, 6 Pd 2.70-2.91, 2 Cd 2.82-2.84
Pd 0.5501 0.1002 0.2937  2 Ga 2.60, 6 Pd 2.70-2.91, 2 Cd 2.82-2.84
Pd 0.8179 0.2356 0.6542  4 Pd 2.70-2.91, 1 Ga 2.73, 4 Cd 2.82-2.93
Pd 0.4177 0.2356 0.6542  4 Pd 2.70-2.91, 1 Ga 2.73, 4 Cd 2.82-2.93
Pd 0.9629 0.3083 0.2424  1 Ga 2.61, 3 Pd 2.75-2.83, 2 Cd 2.81
Pd 0.3455 0.3083 0.2424  1 Ga 2.61, 3 Pd 2.75-2.83, 2 Cd 2.81
Pd 0.0913 0.1827 0.8903  2 Ga 2.58, 3 Cd 2.76-2.86, 5 Pd 2.79-2.81

Output
The magnetization is 0.000 μB/atom. The value obtained for the calculated formation energy is -0.338 eV per atom.


A plane-wave DFT calculation with GGA-PBE was carried out for a relaxed B2PRh6 crystal.

a = 3.4144 Å, b = 4.3907 Å, c = 8.6972 Å
α = 101.19°, β = 90.00°, γ = 112.88°
Closest atoms and distances in Å follow each position.
Element x y z (fractional)
B 0.6759 0.3517 0.8413  6 Rh 2.11-2.18
B 0.3241 0.6483 0.1587  6 Rh 2.11-2.18
P 0.0000 0.0000 0.5000  6 Rh 2.28-2.30
Rh 0.3359 0.6717 0.9191  3 B 2.11-2.16
Rh 0.6641 0.3283 0.0809  3 B 2.11-2.16
Rh 0.9900 0.9800 0.2340  2 B 2.18, 1 P 2.30
Rh 0.6792 0.3584 0.5952  1 B 2.15, 2 P 2.28
Rh 0.0100 0.0200 0.7660  2 B 2.18, 1 P 2.30
Rh 0.3208 0.6416 0.4048  1 B 2.15, 2 P 2.28

Output
The magnetization is 0.000 μB/atom. The value obtained for the calculated formation energy is -0.368 eV per atom.


A plane-wave DFT calculation with GGA-PBE was carried out for a relaxed Pm6NdTl2 crystal.

a = 4.9012 Å, b = 4.9012 Å, c = 12.5230 Å
α = 90.00°, β = 90.00°, γ = 90.00°
Closest atoms and distances in Å follow each position.
Element x y z (fractional)
Pm 0.0000 0.5000 0.2809  2 Tl 3.22, 4 Pm 3.47
Pm 0.5000 0.0000 0.2809  2 Tl 3.22, 4 Pm 3.47
Pm 0.0000 0.5000 0.7191  2 Tl 3.22, 4 Pm 3.47
Pm 0.5000 0.0000 0.7191  2 Tl 3.22, 4 Pm 3.47
Pm 0.5000 0.5000 0.5000  12 Pm 3.47-3.68
Pm 0.0000 0.0000 0.5000  12 Pm 3.47-3.68
Nd 0.0000 0.0000 0.0000  8 Tl 3.75
Tl 0.5000 0.5000 0.1137  1 Tl 2.85
Tl 0.5000 0.5000 0.8863  1 Tl 2.85

Output
The distance to the lowest polymorph of the same formula is 96.9 meV per atom. The magnetization is 0.000 μB/atom. The value obtained for the calculated formation energy is -0.052 eV per atom.


A plane-wave DFT calculation with GGA-PBE was carried out for a relaxed LaB4Ir12 crystal.

a = 6.8165 Å, b = 6.8165 Å, c = 6.8165 Å
α = 109.47°, β = 109.47°, γ = 109.47°
Closest atoms and distances in Å follow each position.
Element x y z (fractional)
La 0.0000 0.0000 0.0000  12 Ir 2.91
B 0.0000 0.5000 0.0000  6 Ir 2.15
B 0.5000 0.0000 0.0000  6 Ir 2.15
B 0.5000 0.5000 0.5000  6 Ir 2.15
B 0.0000 0.0000 0.5000  6 Ir 2.15
Ir 0.8287 0.3279 0.1566  2 B 2.15
Ir 0.3279 0.4992 0.1713  2 B 2.15
Ir 0.8434 0.1713 0.6721  2 B 2.15
Ir 0.3279 0.1566 0.8287  2 B 2.15
Ir 0.1566 0.8287 0.3279  2 B 2.15
Ir 0.6721 0.5008 0.8287  2 B 2.15
Ir 0.4992 0.1713 0.3279  2 B 2.15
Ir 0.5008 0.8287 0.6721  2 B 2.15
Ir 0.6721 0.8434 0.1713  2 B 2.15
Ir 0.8287 0.6721 0.5008  2 B 2.15
Ir 0.1713 0.3279 0.4992  2 B 2.15
Ir 0.1713 0.6721 0.8434  2 B 2.15

Output
The magnetization is 0.000 μB/atom. The value obtained for the calculated formation energy is 0.204 eV per atom.


A plane-wave DFT calculation with GGA-PBE was carried out for a relaxed Ca2TaCrAg crystal.

a = 5.6847 Å, b = 5.0629 Å, c = 5.6847 Å
α = 90.00°, β = 90.00°, γ = 90.00°
Closest atoms and distances in Å follow each position.
Element x y z (fractional)
Cr 0.5000 0.5000 0.5000  8 Ca 3.81, 4 Ag 4.02
Ca 0.0000 0.0000 0.5000  2 Ta 2.84
Ca 0.5000 0.0000 0.0000  2 Ta 2.84
Ag 0.0000 0.5000 0.0000  2 Ta 2.53
Ta 0.0000 0.0000 0.0000  2 Ag 2.53

Output
The distance to the lowest polymorph of the same formula is 354.0 meV per atom. The magnetization is 0.892 μB/atom. The value obtained for the calculated formation energy is 1.442 eV per atom.


A plane-wave DFT calculation with GGA-PBE was carried out for a relaxed Cu2BiO crystal.

a = 4.4428 Å, b = 4.4428 Å, c = 4.4428 Å
α = 60.00°, β = 60.00°, γ = 60.00°
Closest atoms and distances in Å follow each position.
Element x y z (fractional)
O 0.0000 0.0000 0.0000  8 Cu 2.72
Bi 0.5000 0.5000 0.5000  8 Cu 2.72
Cu 0.2500 0.2500 0.2500  4 O 2.72, 4 Bi 2.72
Cu 0.7500 0.7500 0.7500  4 Bi 2.72, 4 O 2.72

Output
The distance to the lowest polymorph of the same formula is 649.6 meV per atom. The raw formation energy is 1.95 eV per formula unit. The magnetization is 0.000 μB/atom.


A plane-wave DFT calculation with GGA-PBE was carried out for a relaxed KBaRe2 crystal.

a = 12.1248 Å, b = 12.1248 Å, c = 12.1248 Å
α = 13.95°, β = 13.95°, γ = 13.95°
Closest atoms and distances in Å follow each position.
Element x y z (fractional)
Ba 0.2500 0.2500 0.2500  6 Ba 2.94
K 0.7500 0.7500 0.7500  6 K 2.94
Re 0.0004 0.0004 0.0004  6 Re 2.94
Re 0.4996 0.4996 0.4996  6 Re 2.94

Output
The distance to the lowest polymorph of the same formula is 1047.4 meV per atom. The magnetization is 0.011 μB/atom. The value obtained for the calculated formation energy is 1.703 eV per atom.


A plane-wave DFT calculation with GGA-PBE was carried out for a relaxed Sr2ZrHg crystal.

a = 6.6775 Å, b = 6.6775 Å, c = 5.4420 Å
α = 65.92°, β = 65.92°, γ = 35.52°
Closest atoms and distances in Å follow each position.
Element x y z (fractional)
Hg 0.2500 0.2500 0.2500  4 Sr 3.23, 4 Zr 3.40
Sr 0.9681 0.9681 0.0319  2 Hg 3.23, 4 Sr 3.48
Sr 0.5319 0.5319 0.4681  2 Hg 3.23, 4 Sr 3.48
Zr 0.7500 0.7500 0.7500  4 Hg 3.40, 4 Sr 3.70

Output
The magnetization is 0.341 μB/atom. The value obtained for the calculated formation energy is 0.288 eV per atom.


A plane-wave DFT calculation with GGA-PBE was carried out for a relaxed SrHfNF2 crystal.

a = 4.2663 Å, b = 4.2663 Å, c = 5.4463 Å
α = 90.00°, β = 90.00°, γ = 90.00°
Closest atoms and distances in Å follow each position.
Element x y z (fractional)
Sr 0.0000 0.0000 0.0000  4 F 2.13
N 0.0000 0.0000 0.5000  2 Sr 2.72, 4 Hf 3.02
Hf 0.5000 0.5000 0.5000  4 N 3.02
F 0.0000 0.5000 0.0000  2 Sr 2.13
F 0.5000 0.0000 0.0000  2 Sr 2.13

Output
The distance to the lowest polymorph of the same formula is 1347.7 meV per atom. The raw formation energy is -4.25 eV per formula unit. The magnetization is 0.176 μB/atom.


A plane-wave DFT calculation with GGA-PBE was carried out for a relaxed Mn2CdN2 crystal.

a = 2.7801 Å, b = 2.8190 Å, c = 15.6141 Å
α = 90.00°, β = 90.00°, γ = 90.00°
Closest atoms and distances in Å follow each position.
Element x y z (fractional)
Mn 0.5000 0.2504 0.8048  5 N 1.99-2.00
Mn 0.5000 0.2504 0.1952  5 N 1.99-2.00
Mn 0.0000 0.7496 0.6952  5 N 1.99-2.00
Mn 0.0000 0.7496 0.3048  5 N 1.99-2.00
Cd 0.5000 0.7372 0.5000  4 Cd 2.78-2.82, 2 N 3.09
Cd 0.0000 0.2628 0.0000  4 Cd 2.78-2.82, 2 N 3.09
N 0.5000 0.2498 0.3228  5 Mn 1.99-2.00
N 0.5000 0.2498 0.6772  5 Mn 1.99-2.00
N 0.0000 0.7502 0.1772  5 Mn 1.99-2.00
N 0.0000 0.7502 0.8228  5 Mn 1.99-2.00

Output
The distance to the lowest polymorph of the same formula is 0.0 meV per atom. The raw formation energy is 0.05 eV per formula unit. The magnetization is 0.771 μB/atom.


Respective calculated volume values: 16.96 13.05 33.43 14.34 32.72 15.50 22.54 31.84 19.83 12.24 Å³ per atom.